Below is a geometry-optimized CaGdAl2 structure, with properties calculated at the PBE-GGA level.

Summary:
The formation energy from the elements is -0.03 eV per atom. The polymorph energy (0 for the lowest one) is 260 meV per atom. The space-group type is R-3m. The energy comes out at -5.93 eV/atom.

Unit cell a=3.569 b=3.569 c=29.204 alpha=90.00 beta=90.00 gamma=120.00
Fractional coordinates of all 12 atoms:
Ca1 0.000 0.000 0.000
Ca2 0.333 0.667 0.667
Ca3 0.667 0.333 0.333
Gd1 0.000 0.000 0.500
Gd2 0.333 0.667 0.167
Gd3 0.667 0.333 0.833
Al1 0.000 0.000 0.249
Al2 0.000 0.000 0.751
Al3 0.333 0.667 0.418
Al4 0.333 0.667 0.915
Al5 0.667 0.333 0.085
Al6 0.667 0.333 0.582